# Y2AgAu2 meta-GGA SCAN single point on PBEsol structure
# Calculated formation energy: -903.3 meV/atom
# DOS(E_F): 7.996 states/eV/cell
# Electronic total energy: -3.379 Ry/atom
# Calculated volume: 22.0 Å³/atom
# Size of the total moment: 0.00 μB per formula unit
data_Y2AgAu2
_chemical_formula_sum 'Y4 Ag2 Au4'
_cell_length_a 7.6660
_cell_length_b 7.6660
_cell_length_c 3.7477
_cell_angle_alpha 90.00
_cell_angle_beta 90.00
_cell_angle_gamma 90.00
_symmetry_space_group_name_H-M 'P 4/m b m'
_symmetry_Int_Tables_number 127
_symmetry_space_group_name_Hall '-P 4 2ab'
loop_
_atom_site_label
_atom_site_type_symbol
_atom_site_fract_x
_atom_site_fract_y
_atom_site_fract_z
Y1 Y 0.1700 0.3300 0.0000
Ag1 Ag 0.0000 0.0000 0.5000
Au1 Au 0.1308 0.6308 0.5000